(1)
Computed, not measured: a relaxed BaLi2GaHg crystal at the PBE-GGA level of DFT. Values from VASP.

Calculated values
VASP energy: -10.1 eV per cell
M_tot: 0.00 μB/f.u.
Space group: P4/mmm
Formation energy: -0.20 eV/atom
Excess energy over the best structure of this formula in the dataset: 0.000 eV/atom

```
&SYSTEM
  ibrav = 0, nat = 5, ntyp = 4
/
ATOMIC_SPECIES
Ba 137.33 Ba.upf
Li 6.94 Li.upf
Ga 69.72 Ga.upf
Hg 200.59 Hg.upf
ATOMIC_POSITIONS crystal
Ba 0.0000 0.0000 0.0000
Li 0.0000 0.5000 0.5000
Li 0.5000 0.0000 0.5000
Ga 0.5000 0.5000 0.5000
Hg 0.5000 0.5000 0.0000
CELL_PARAMETERS angstrom
5.1615 0.0000 0.0000
0.0000 5.1615 0.0000
0.0000 0.0000 5.2975
```

=====

(2)
Computed, not measured: a relaxed CaDyS2 crystal at the PBE-GGA level of DFT. Values from VASP.

Calculated values
Energy relative to the elements, uncorrected: -1960 meV per atom
VASP energy: -22.7 eV per cell
M_tot: 0.00 μB/f.u.
Space group: R3m
Excess energy over the best structure of this formula in the dataset: 0.095 eV/atom

```
&SYSTEM
  ibrav = 0, nat = 4, ntyp = 3
/
ATOMIC_SPECIES
Ca 40.08 Ca.upf
Dy 162.50 Dy.upf
S 32.06 S.upf
ATOMIC_POSITIONS crystal
Ca 0.0000 0.0000 0.0000
Dy 0.8251 0.8251 0.8251
S 0.2408 0.2408 0.2408
S 0.4148 0.4148 0.4148
CELL_PARAMETERS angstrom
1.9412 1.1208 6.8632
-1.9412 1.1208 6.8632
0.0000 -2.2415 6.8632
```

=====

(3)
Computed, not measured: a relaxed KNaIn2Rh crystal at the PBE-GGA level of DFT. Values from VASP.

Calculated values
VASP energy: -16.1 eV per cell
M_tot: 0.00 μB/f.u.
Space group: P4/mmm
Formation energy: -0.17 eV/atom

```
&SYSTEM
  ibrav = 0, nat = 5, ntyp = 4
/
ATOMIC_SPECIES
K 39.10 K.upf
Na 22.99 Na.upf
In 114.82 In.upf
Rh 102.91 Rh.upf
ATOMIC_POSITIONS crystal
K 0.0000 0.0000 0.0000
Na 0.5000 0.5000 0.0000
In 0.0000 0.5000 0.5000
In 0.5000 0.0000 0.5000
Rh 0.5000 0.5000 0.5000
CELL_PARAMETERS angstrom
5.1851 0.0000 0.0000
0.0000 5.1851 0.0000
0.0000 0.0000 5.6118
```